Computed, not measured: crystalline Ru2Br3 at its relaxed geometry at the PBE level of DFT.

Values from the calculation:
E_form (uncorrected) (meV per atom): 375
N(E_F) (states/eV per atom): 0.252
SG: R-3m (166)

Unit cell a=10.024 b=10.024 c=10.024 alpha=21.00 beta=21.00 gamma=21.00
Fractional positions:
Ru 0.401 0.401 0.401
Ru 0.599 0.599 0.599
Br 0.000 0.000 0.000
Br 0.775 0.775 0.775
Br 0.225 0.225 0.225



Computed, not measured: crystalline CrSbIr2 at its relaxed geometry at the PBE level of DFT.

Values from the calculation:
E_form (uncorrected) (meV per atom): 104
N(E_F) (states/eV per atom): 0.920
SG: Pmmm (47)

Unit cell a=3.697 b=2.963 c=6.537 alpha=63.01 beta=90.00 gamma=90.00
Fractional positions:
Cr 0.500 0.750 0.750
Ir 0.000 0.023 0.977
Ir 0.000 0.477 0.523
Sb 0.500 0.250 0.250